Entry 1:
# GGA-PBE Al2Co2Ag, relaxed
data_Al2Co2Ag
_space_group_name_H-M_alt 'P 1'
_space_group_IT_number 1
_space_group_name_Hall 'P 1'
_cell_length_a 6.9719
_cell_length_b 6.9719
_cell_length_c 6.9719
_cell_angle_alpha 151.96
_cell_angle_beta 151.96
_cell_angle_gamma 40.08
loop_
_atom_site_label
_atom_site_type_symbol
_atom_site_fract_x
_atom_site_fract_y
_atom_site_fract_z
Al1 Al 0.6111 0.6111 0.0000
Al2 Al 0.3889 0.3889 0.0000
Co1 Co 0.2500 0.7500 0.5000
Co2 Co 0.7500 0.2500 0.5000
Ag1 Ag 0.0000 0.0000 0.0000
# - density of states at the Fermi level (states/eV/f.u.) = 4.415
# - DFT total energy (eV per atom) = -4.812
# - space group = No. 139
# - calculated density (g/cm³) = 6.2
# - calculated volume (Å³ per cell) = 75

Entry 2:
# GGA-PBE SmDy4Pb2, relaxed
data_SmDy4Pb2
_space_group_name_H-M_alt 'P 1'
_space_group_IT_number 1
_space_group_name_Hall 'P 1'
_cell_length_a 5.4009
_cell_length_b 5.4009
_cell_length_c 9.0755
_cell_angle_alpha 107.31
_cell_angle_beta 107.31
_cell_angle_gamma 90.00
loop_
_atom_site_label
_atom_site_type_symbol
_atom_site_fract_x
_atom_site_fract_y
_atom_site_fract_z
Sm1 Sm 0.0000 0.0000 0.0000
Dy1 Dy 0.8177 0.8177 0.6354
Dy2 Dy 0.1823 0.1823 0.3646
Dy3 Dy 0.0000 0.5000 0.0000
Dy4 Dy 0.5000 0.0000 0.0000
Pb1 Pb 0.6306 0.6306 0.2612
Pb2 Pb 0.3694 0.3694 0.7388
# - density of states at the Fermi level (states/eV/f.u.) = 9.405
# - DFT total energy (eV per atom) = -3.908
# - space group = No. 139
# - calculated density (g/cm³) = 8.4
# - calculated volume (Å³ per cell) = 240

Entry 3:
# GGA-PBE PaNbZn, relaxed
data_PaNbZn
_space_group_name_H-M_alt 'P 1'
_space_group_IT_number 1
_space_group_name_Hall 'P 1'
_cell_length_a 2.9028
_cell_length_b 4.9299
_cell_length_c 4.9299
_cell_angle_alpha 120.00
_cell_angle_beta 90.00
_cell_angle_gamma 90.00
loop_
_atom_site_label
_atom_site_type_symbol
_atom_site_fract_x
_atom_site_fract_y
_atom_site_fract_z
Nb1 Nb 0.1673 0.3333 0.6667
Pa1 Pa 0.6666 0.6667 0.3333
Zn1 Zn 0.1661 0.0000 0.0000
# - density of states at the Fermi level (states/eV/f.u.) = 5.741
# - DFT total energy (eV per atom) = -6.749
# - space group = No. 187
# - calculated density (g/cm³) = 10.6
# - calculated volume (Å³ per cell) = 61

Entry 4:
# GGA-PBE TcOsAu, relaxed
data_TcOsAu
_space_group_name_H-M_alt 'P 1'
_space_group_IT_number 1
_space_group_name_Hall 'P 1'
_cell_length_a 4.2731
_cell_length_b 4.2731
_cell_length_c 4.2731
_cell_angle_alpha 60.00
_cell_angle_beta 60.00
_cell_angle_gamma 60.00
loop_
_atom_site_label
_atom_site_type_symbol
_atom_site_fract_x
_atom_site_fract_y
_atom_site_fract_z
Au1 Au 0.5000 0.5000 0.5000
Os1 Os 0.2500 0.2500 0.2500
Tc1 Tc 0.0000 0.0000 0.0000
# - density of states at the Fermi level (states/eV/f.u.) = 4.794
# - DFT total energy (eV per atom) = -7.437
# - space group = No. 216
# - calculated density (g/cm³) = 14.6
# - calculated volume (Å³ per cell) = 55

Entry 5:
# GGA-PBE Na3Sr4Nd3Ti10O30, relaxed
data_Na3Sr4Nd3Ti10O30
_space_group_name_H-M_alt 'P 1'
_space_group_IT_number 1
_space_group_name_Hall 'P 1'
_cell_length_a 5.5331
_cell_length_b 5.5434
_cell_length_c 19.9209
_cell_angle_alpha 81.92
_cell_angle_beta 81.91
_cell_angle_gamma 89.29
loop_
_atom_site_label
_atom_site_type_symbol
_atom_site_fract_x
_atom_site_fract_y
_atom_site_fract_z
Na1 Na 0.1421 0.6499 0.7006
Na2 Na 0.7497 0.2668 0.5032
Na3 Na 0.3606 0.8597 0.3049
Sr1 Sr 0.5453 0.0416 0.9005
Sr2 Sr 0.0435 0.5399 0.8986
Sr3 Sr 0.9546 0.4491 0.1009
Sr4 Sr 0.4532 0.9445 0.1022
Nd1 Nd 0.6636 0.1699 0.6992
Nd2 Nd 0.2649 0.7749 0.5013
Nd3 Nd 0.8672 0.3683 0.3023
Ti1 Ti 0.4971 0.4898 0.0013
Ti2 Ti 0.5907 0.5962 0.7979
Ti3 Ti 0.6999 0.7239 0.6008
Ti4 Ti 0.2084 0.2228 0.5998
Ti5 Ti 0.2990 0.3220 0.4028
Ti6 Ti 0.0938 0.0900 0.7983
Ti7 Ti 0.8068 0.8190 0.4021
Ti8 Ti 0.9087 0.8991 0.2043
Ti9 Ti 0.4104 0.3920 0.2046
Ti10 Ti 0.9969 0.9911 0.0015
O1 O 0.7593 0.2585 0.9898
O2 O 0.5286 0.5744 0.8974
O3 O 0.4060 0.9030 0.7846
O4 O 0.0786 0.0296 0.8975
O5 O 0.1103 0.1811 0.6972
O6 O 0.2544 0.2451 0.9995
O7 O 0.0086 0.5008 0.5828
O8 O 0.3312 0.3851 0.7951
O9 O 0.6921 0.6116 0.6974
O10 O 0.7062 0.7709 0.4997
O11 O 0.8874 0.8259 0.7974
O12 O 0.6055 0.0985 0.3855
O13 O 0.9019 0.9925 0.6002
O14 O 0.2836 0.2055 0.4997
O15 O 0.3063 0.3666 0.3017
O16 O 0.4940 0.3975 0.6026
O17 O 0.8162 0.3127 0.8063
O18 O 0.1689 0.6726 0.1911
O19 O 0.4944 0.5903 0.4032
O20 O 0.8689 0.8033 0.3017
O21 O 0.0906 0.9928 0.4036
O22 O 0.4036 0.8967 0.6097
O23 O 0.0994 0.1790 0.2048
O24 O 0.4669 0.4217 0.1007
O25 O 0.6762 0.6025 0.2042
O26 O 0.9986 0.4925 0.4094
O27 O 0.7461 0.7535 0.9995
O28 O 0.9235 0.9687 0.1005
O29 O 0.6077 0.1098 0.2112
O30 O 0.2428 0.7417 0.0081
# - density of states at the Fermi level (states/eV/f.u.) = 0.000
# - space group = No. 1
# - calculated density (g/cm³) = 5.0
# - calculated volume (Å³ per cell) = 599
# - uncorrected formation energy (kJ/mol of atoms) = -293.6

Entry 6:
# GGA-PBE Na2AlIn, relaxed
data_Na2AlIn
_space_group_name_H-M_alt 'P 1'
_space_group_IT_number 1
_space_group_name_Hall 'P 1'
_cell_length_a 4.7348
_cell_length_b 6.2053
_cell_length_c 8.5707
_cell_angle_alpha 75.37
_cell_angle_beta 73.97
_cell_angle_gamma 67.57
loop_
_atom_site_label
_atom_site_type_symbol
_atom_site_fract_x
_atom_site_fract_y
_atom_site_fract_z
Na1 Na 0.2011 0.2470 0.3507
Na2 Na 0.8179 0.8385 0.5257
Na3 Na 0.4378 0.4284 0.6960
Na4 Na 0.8171 0.3429 0.0228
Al1 Al 0.0694 0.7588 0.1024
Al2 Al 0.5626 0.9244 0.9503
In1 In 0.1197 0.0074 0.7532
In2 In 0.5164 0.6691 0.2981
# - density of states at the Fermi level (states/eV/f.u.) = 1.050
# - DFT total energy (eV per atom) = -2.278
# - space group = No. 8
# - calculated density (g/cm³) = 2.8
# - calculated volume (Å³ per cell) = 221

Entry 7:
# GGA-PBE AsPb3Au, relaxed
data_AsPb3Au
_space_group_name_H-M_alt 'P 1'
_space_group_IT_number 1
_space_group_name_Hall 'P 1'
_cell_length_a 5.5035
_cell_length_b 5.5035
_cell_length_c 5.5035
_cell_angle_alpha 90.00
_cell_angle_beta 90.00
_cell_angle_gamma 90.00
loop_
_atom_site_label
_atom_site_type_symbol
_atom_site_fract_x
_atom_site_fract_y
_atom_site_fract_z
Pb1 Pb 0.0000 0.5000 0.0000
Pb2 Pb 0.0000 0.0000 0.5000
Pb3 Pb 0.5000 0.0000 0.0000
As1 As 0.5000 0.5000 0.5000
Au1 Au 0.0000 0.0000 0.0000
# - density of states at the Fermi level (states/eV/f.u.) = 3.610
# - DFT total energy (eV per atom) = -3.368
# - space group = No. 221
# - calculated density (g/cm³) = 8.9
# - calculated volume (Å³ per cell) = 167

Entry 8:
# GGA-PBE LiScTeN2, relaxed
data_LiScTeN2
_space_group_name_H-M_alt 'P 1'
_space_group_IT_number 1
_space_group_name_Hall 'P 1'
_cell_length_a 4.2845
_cell_length_b 4.2845
_cell_length_c 5.8290
_cell_angle_alpha 90.00
_cell_angle_beta 90.00
_cell_angle_gamma 90.00
loop_
_atom_site_label
_atom_site_type_symbol
_atom_site_fract_x
_atom_site_fract_y
_atom_site_fract_z
Sc1 Sc 0.0000 0.0000 0.0000
Te1 Te 0.0000 0.0000 0.5000
Li1 Li 0.5000 0.5000 0.5000
N1 N 0.0000 0.5000 0.0000
N2 N 0.5000 0.0000 0.0000
# - density of states at the Fermi level (states/eV/f.u.) = 3.624
# - space group = No. 123
# - calculated density (g/cm³) = 3.2
# - calculated volume (Å³ per cell) = 107
# - uncorrected formation energy (kJ/mol of atoms) = 36.5

Question: The highest density of states at the Fermi level belongs to which entry?
Answer: SmDy4Pb2

Question: Look up the calculated density of the third one.
Answer: 10.6 g/cm³

Question: The highest calculated volume belongs to which entry?
Answer: Na3Sr4Nd3Ti10O30

Question: What is the density of states at the Fermi level in the sixth record?
Answer: 1.050 states/eV/f.u.